Here is crystalline CoAuIO2 at its relaxed geometry from Alexandria via LeMat-Bulk. Energies are from PBE+U.

Calculated values
* space-group type: P4/mmm (123)
* energy above the lowest structure with this stoichiometry: 462.3 meV per atom
* calculated total energy: -17.36 eV per formula unit

Unit cell a=3.9210 b=3.9210 c=7.6861 alpha=90.00 beta=90.00 gamma=90.00
Element x y z (fractional)
1 Co 0.0000 0.0000 0.0000
2 Au 0.5000 0.5000 0.5000
3 I 0.5000 0.5000 0.0000
4 O 0.0000 0.5000 0.5000
5 O 0.5000 0.0000 0.5000